Entry from Alexandria: a relaxed Rb3Er3TiTe8 crystal (PBE). Values from VASP.

The structure in Quantum ESPRESSO input format:
```
&SYSTEM
  ibrav = 0, nat = 15, ntyp = 4
/
ATOMIC_SPECIES
Rb 85.47 Rb.upf
Er 167.26 Er.upf
Ti 47.87 Ti.upf
Te 127.60 Te.upf
CELL_PARAMETERS angstrom
4.3462 2.5093 8.7815
-4.3462 2.5093 8.7815
0.0000 -5.0185 8.7815
ATOMIC_POSITIONS angstrom
Rb -2.1731 -1.2546 8.7815
Rb -2.1731 1.2546 17.5630
Rb 0.0000 2.5093 8.7815
Er -4.3462 0.0000 13.1723
Er -2.1731 1.2546 4.3907
Er 2.1731 1.2546 4.3908
Ti 0.0000 0.0000 13.1723
Te 0.0000 0.0000 6.1413
Te -2.0369 -1.1760 14.8177
Te 0.0000 -2.3520 11.5269
Te -2.0368 1.1760 11.5269
Te 2.0369 -1.1760 14.8176
Te 0.0000 2.3520 14.8176
Te 2.0368 1.1760 11.5269
Te 0.0000 0.0000 20.2032
```

Its raw total energy is -4.501 eV/atom.

---

Entry from Alexandria: a relaxed Nd8Sm4Tm3 crystal (PBE). Values from VASP.

The structure in Quantum ESPRESSO input format:
```
&SYSTEM
  ibrav = 0, nat = 15, ntyp = 3
/
ATOMIC_SPECIES
Nd 144.24 Nd.upf
Sm 150.36 Sm.upf
Tm 168.93 Tm.upf
CELL_PARAMETERS angstrom
6.9519 -6.1408 0.0000
6.9519 6.1408 0.0000
-3.2912 0.0000 6.0487
ATOMIC_POSITIONS angstrom
Nd 2.2349 0.0000 1.0115
Nd 6.9519 3.6555 0.0000
Nd 5.3063 3.0482 3.0243
Nd 1.2203 0.0000 4.2508
Nd 9.3923 0.0000 1.7979
Nd 5.3063 -3.0482 3.0243
Nd 6.9519 -3.6555 0.0000
Nd 8.3777 0.0000 5.0372
Sm 3.4759 3.0704 0.0000
Sm 3.4759 -3.0704 0.0000
Sm 6.9519 0.0000 0.0000
Sm 5.3063 0.0000 3.0243
Tm -1.6456 0.0000 3.0243
Tm 1.8304 3.0704 3.0243
Tm 1.8304 -3.0704 3.0243
```

The formation energy comes out at 0.324 eV per atom. Its raw total energy is -4.371 eV/atom.

---

Entry from Alexandria: a relaxed HoNi2Ge4 crystal (PBE). Values from VASP.

The structure in Quantum ESPRESSO input format:
```
&SYSTEM
  ibrav = 0, nat = 28, ntyp = 3
/
ATOMIC_SPECIES
Ho 164.93 Ho.upf
Ni 58.69 Ni.upf
Ge 72.64 Ge.upf
CELL_PARAMETERS angstrom
17.1663 0.0000 0.0000
0.0000 4.0898 0.0000
0.0000 0.0000 6.5899
ATOMIC_POSITIONS angstrom
Ho 2.4069 1.0225 0.0878
Ho 6.1762 3.0674 3.3828
Ho 10.9901 1.0225 3.2072
Ho 14.7594 3.0674 6.5021
Ni 0.5842 3.0674 4.9947
Ni 3.6138 1.0225 3.1656
Ni 4.9694 3.0674 6.4606
Ni 7.9990 1.0225 1.6998
Ni 9.1673 3.0674 4.8902
Ni 12.1970 1.0225 0.1294
Ni 13.5525 3.0674 3.4243
Ni 16.5822 1.0225 1.5952
Ge 0.4903 3.0674 0.9190
Ge 1.1208 1.0225 3.4111
Ge 3.0510 3.0674 4.5884
Ge 3.4639 3.0674 1.8728
Ge 5.1193 1.0225 5.1678
Ge 5.5322 1.0225 1.2934
Ge 7.4623 3.0674 0.1161
Ge 8.0929 1.0225 4.2140
Ge 9.0734 3.0674 2.3759
Ge 9.7040 1.0225 6.4738
Ge 11.6341 3.0674 5.2965
Ge 12.0471 3.0674 1.4222
Ge 13.7024 1.0225 4.7171
Ge 14.1154 1.0225 2.0015
Ge 16.0455 3.0674 3.1789
Ge 16.6761 1.0225 5.6709
```

The formation energy comes out at -0.425 eV per atom. Its raw total energy is -5.369 eV/atom.

---

Entry from Alexandria: a relaxed SrSiPt2 crystal (PBE). Values from VASP.

The structure in Quantum ESPRESSO input format:
```
&SYSTEM
  ibrav = 0, nat = 4, ntyp = 3
/
ATOMIC_SPECIES
Sr 87.62 Sr.upf
Si 28.09 Si.upf
Pt 195.08 Pt.upf
CELL_PARAMETERS angstrom
3.1103 0.0000 0.0000
0.0000 3.1103 0.0000
0.0000 0.0000 7.6323
ATOMIC_POSITIONS angstrom
Sr 0.0000 0.0000 0.0000
Si 0.0000 0.0000 3.8162
Pt 1.5551 1.5551 2.4207
Pt 1.5551 1.5551 5.2116
```

Its raw total energy is -5.276 eV/atom.

---

Entry from Alexandria: a relaxed AlV3 crystal (PBE). Values from VASP.

The structure in Quantum ESPRESSO input format:
```
&SYSTEM
  ibrav = 0, nat = 8, ntyp = 2
/
ATOMIC_SPECIES
Al 26.98 Al.upf
V 50.94 V.upf
CELL_PARAMETERS angstrom
4.8089 0.0000 0.0000
0.0000 4.8089 0.0000
0.0000 0.0000 4.8089
ATOMIC_POSITIONS angstrom
Al 0.0000 0.0000 0.0000
Al 2.4044 2.4044 2.4044
V 0.0000 1.2022 2.4044
V 0.0000 3.6067 2.4044
V 1.2022 2.4044 0.0000
V 2.4044 0.0000 1.2022
V 2.4044 0.0000 3.6067
V 3.6067 2.4044 0.0000
```

The formation energy comes out at -0.136 eV per atom. Its raw total energy is -7.911 eV/atom.

---

Entry from Alexandria: a relaxed CaSnPb4 crystal (PBE). Values from VASP.

The structure in Quantum ESPRESSO input format:
```
&SYSTEM
  ibrav = 0, nat = 6, ntyp = 3
/
ATOMIC_SPECIES
Ca 40.08 Ca.upf
Sn 118.71 Sn.upf
Pb 207.20 Pb.upf
CELL_PARAMETERS angstrom
0.0000 4.5992 4.5992
4.5992 0.0000 4.5992
4.5992 4.5992 0.0000
ATOMIC_POSITIONS angstrom
Ca 0.0000 0.0000 0.0000
Sn 6.8988 6.8988 6.8988
Pb 3.4499 3.4499 3.4499
Pb 5.7486 5.7486 3.4499
Pb 5.7486 3.4499 5.7486
Pb 3.4499 5.7486 5.7486
```

The formation energy comes out at -0.070 eV per atom. Its raw total energy is -3.543 eV/atom. The distance to the lowest polymorph of the same formula comes out at 115 meV/atom.

---

Entry from Alexandria: a relaxed La12Ru3N5 crystal (PBE). Values from VASP.

The structure in Quantum ESPRESSO input format:
```
&SYSTEM
  ibrav = 0, nat = 80, ntyp = 3
/
ATOMIC_SPECIES
La 138.91 La.upf
Ru 101.07 Ru.upf
N 14.01 N.upf
CELL_PARAMETERS angstrom
-7.9817 7.9817 7.9817
7.9817 -7.9817 7.9817
7.9817 7.9817 -7.9817
ATOMIC_POSITIONS angstrom
La 2.4156 -0.4574 0.8618
La 9.5568 4.8527 -4.4482
La 10.3973 0.4574 0.8618
La 9.5568 -3.1290 4.4482
La 7.5242 -0.8618 2.4156
La 12.4299 -1.5752 3.1290
La 0.8618 2.4156 -0.4574
La 11.1106 3.5334 -1.5752
La 4.8527 4.4482 -1.5752
La 7.1198 2.4156 0.4574
La -0.4574 0.8618 2.4156
La 4.4482 -1.5752 4.8527
La 7.5242 7.1198 -2.4156
La 4.4482 1.5752 3.1290
La 4.8527 -4.4482 9.5568
La 7.1198 -2.4156 7.5242
La 3.1290 4.4482 1.5752
La 8.8435 5.5660 0.4574
La 4.4482 9.5568 -3.1290
La 7.5242 0.8618 5.5660
La 2.4156 7.5242 -0.8618
La 9.5568 3.1290 3.5334
La 1.5752 3.1290 4.4482
La 2.4156 0.4574 7.1198
La 5.5660 7.5242 0.8618
La 6.4065 4.8527 3.5334
La -1.5752 4.8527 4.4482
La 5.5660 0.4574 8.8435
La 0.4574 7.1198 2.4156
La 3.5334 -1.5752 11.1106
La -0.8618 2.4156 7.5242
La 4.8527 3.5334 6.4065
La 0.8618 10.3973 0.4574
La 3.1290 12.4299 -1.5752
La 3.5334 6.4065 4.8527
La 0.4574 0.8618 10.3973
La 3.5334 9.5568 3.1290
La 8.4391 7.1198 5.5660
La 0.8618 5.5660 7.5242
La 3.1290 3.5334 9.5568
La -3.1290 4.4482 9.5568
La 7.1198 5.5660 8.4391
La -4.4482 9.5568 4.8527
La 0.4574 8.8435 5.5660
La -1.5752 11.1106 3.5334
La -2.4156 7.5242 7.1198
La -1.5752 3.1290 12.4299
La 5.5660 8.4391 7.1198
Ru 3.9908 1.9954 0.0000
Ru 7.9817 3.9908 -1.9954
Ru 1.9954 0.0000 3.9908
Ru 9.9771 0.0000 3.9908
Ru 0.0000 3.9908 1.9954
Ru 3.9908 -1.9954 7.9817
Ru 3.9908 9.9771 0.0000
Ru 7.9817 3.9908 5.9862
Ru -1.9954 7.9817 3.9908
Ru 5.9862 7.9817 3.9908
Ru 0.0000 3.9908 9.9771
Ru 3.9908 5.9862 7.9817
N 0.0000 0.0000 0.0000
N 3.9908 3.9908 -3.9908
N 3.9908 -3.9908 3.9908
N 7.9817 0.0000 0.0000
N 11.9725 1.9954 0.0000
N 7.9817 -3.9908 5.9862
N 5.9862 7.9817 -3.9908
N 5.9862 0.0000 3.9908
N 3.9908 5.9862 0.0000
N 7.9817 3.9908 1.9954
N -3.9908 3.9908 3.9908
N 0.0000 7.9817 0.0000
N 0.0000 0.0000 7.9817
N 3.9908 3.9908 3.9908
N 0.0000 3.9908 5.9862
N 3.9908 1.9954 7.9817
N 1.9954 7.9817 3.9908
N 1.9954 0.0000 11.9725
N 0.0000 11.9725 1.9954
N -3.9908 5.9862 7.9817
```

Its raw total energy is -7.126 eV/atom.

---

Entry from Alexandria: a relaxed Ac3DyPb4 crystal (PBE). Values from VASP.

The structure in Quantum ESPRESSO input format:
```
&SYSTEM
  ibrav = 0, nat = 16, ntyp = 3
/
ATOMIC_SPECIES
Ac 227.00 Ac.upf
Dy 162.50 Dy.upf
Pb 207.20 Pb.upf
CELL_PARAMETERS angstrom
11.8748 0.0000 0.0000
0.0000 6.8493 0.0000
0.0000 0.0000 6.8503
ATOMIC_POSITIONS angstrom
Ac 0.0000 0.2539 0.0000
Ac 2.9632 1.8139 2.0140
Ac 2.9743 5.0354 5.4392
Ac 5.9374 6.5955 3.4252
Ac 8.9117 1.8139 2.0140
Ac 8.9006 5.0354 5.4392
Dy 0.0000 3.5595 3.5601
Dy 5.9374 3.2899 0.1350
Pb 0.0000 0.0832 3.5046
Pb 0.0000 3.5924 0.1704
Pb 2.6126 5.2337 2.0307
Pb 3.3248 1.6157 5.4559
Pb 5.9374 3.2569 3.5955
Pb 5.9374 6.7661 0.0795
Pb 8.5501 1.6157 5.4559
Pb 9.2622 5.2337 2.0307
```

The formation energy comes out at -0.415 eV per atom. Its raw total energy is -4.386 eV/atom. The distance to the lowest polymorph of the same formula comes out at 37 meV/atom.

---

Entry from Alexandria: a relaxed LaReAu2 crystal (PBE). Values from VASP.

The structure in Quantum ESPRESSO input format:
```
&SYSTEM
  ibrav = 0, nat = 8, ntyp = 3
/
ATOMIC_SPECIES
La 138.91 La.upf
Re 186.21 Re.upf
Au 196.97 Au.upf
CELL_PARAMETERS angstrom
4.2918 0.0000 0.0000
0.0000 4.2918 0.0000
0.0000 0.0000 9.0425
ATOMIC_POSITIONS angstrom
La 0.0000 0.0000 0.0000
La 2.1459 2.1459 4.5212
Re 0.0000 2.1459 6.7818
Re 2.1459 0.0000 2.2606
Au 0.0000 0.0000 4.5212
Au 0.0000 2.1459 2.2606
Au 2.1459 0.0000 6.7818
Au 2.1459 2.1459 0.0000
```

The formation energy comes out at 0.258 eV per atom. Its raw total energy is -5.724 eV/atom. The distance to the lowest polymorph of the same formula comes out at 98 meV/atom.

---

Entry from Alexandria: a relaxed Ca4PrHo3Se8 crystal (PBE). Values from VASP.

The structure in Quantum ESPRESSO input format:
```
&SYSTEM
  ibrav = 0, nat = 16, ntyp = 4
/
ATOMIC_SPECIES
Ca 40.08 Ca.upf
Pr 140.91 Pr.upf
Ho 164.93 Ho.upf
Se 78.96 Se.upf
CELL_PARAMETERS angstrom
4.1259 2.3821 6.8646
-4.1259 2.3821 6.8646
0.0000 -4.7642 6.8646
ATOMIC_POSITIONS angstrom
Ca 0.0000 0.0000 0.0000
Ca -2.0629 -1.1910 6.8646
Ca -2.0629 1.1910 13.7292
Ca 0.0000 2.3821 6.8646
Pr 0.0000 0.0000 10.2969
Ho -4.1259 0.0000 10.2969
Ho -2.0629 1.1910 3.4323
Ho 2.0629 1.1910 3.4323
Se -2.1176 -1.2226 12.0064
Se 0.0000 -2.4452 8.5874
Se -2.1176 1.2226 8.5874
Se 0.0000 0.0000 5.0990
Se 0.0000 0.0000 15.4948
Se 2.1176 -1.2226 12.0064
Se 0.0000 2.4452 12.0064
Se 2.1176 1.2226 8.5874
```

Its raw total energy is -5.269 eV/atom.

---

Entry from Alexandria: a relaxed MgIrPt2 crystal (PBE). Values from VASP.

The structure in Quantum ESPRESSO input format:
```
&SYSTEM
  ibrav = 0, nat = 16, ntyp = 3
/
ATOMIC_SPECIES
Mg 24.30 Mg.upf
Ir 192.22 Ir.upf
Pt 195.08 Pt.upf
CELL_PARAMETERS angstrom
3.8679 0.0000 0.0000
0.0000 3.8679 0.0000
0.0000 0.0000 18.1724
ATOMIC_POSITIONS angstrom
Mg 0.0000 0.0000 0.0000
Mg 0.0000 1.9339 4.5431
Mg 1.9339 0.0000 13.6293
Mg 1.9339 1.9339 9.0862
Ir 0.0000 0.0000 9.0862
Ir 0.0000 1.9339 13.6293
Ir 1.9339 0.0000 4.5431
Ir 1.9339 1.9339 0.0000
Pt 0.9307 0.9670 11.3578
Pt 0.9670 2.8646 15.9009
Pt 0.9670 2.9372 6.8147
Pt 1.0033 0.9670 2.2716
Pt 2.8646 2.9009 2.2716
Pt 2.9009 0.9307 6.8147
Pt 2.9009 1.0033 15.9009
Pt 2.9372 2.9009 11.3578
```

The formation energy comes out at 0.015 eV per atom. Its raw total energy is -5.619 eV/atom.

---

Entry from Alexandria: a relaxed Rb4Ho3ZrTe8 crystal (PBE). Values from VASP.

The structure in Quantum ESPRESSO input format:
```
&SYSTEM
  ibrav = 0, nat = 16, ntyp = 4
/
ATOMIC_SPECIES
Rb 85.47 Rb.upf
Ho 164.93 Ho.upf
Zr 91.22 Zr.upf
Te 127.60 Te.upf
CELL_PARAMETERS angstrom
4.4452 2.5664 8.5687
-4.4452 2.5664 8.5687
0.0000 -5.1329 8.5687
ATOMIC_POSITIONS angstrom
Rb 0.0000 0.0000 0.0000
Rb -2.2226 -1.2832 8.5687
Rb -2.2226 1.2832 17.1373
Rb 0.0000 2.5664 8.5686
Ho -4.4452 0.0000 12.8530
Ho -2.2226 1.2832 4.2843
Ho 2.2226 1.2832 4.2843
Zr 0.0000 0.0000 12.8530
Te 0.0000 0.0000 6.0021
Te -2.1606 -1.2474 14.5377
Te 0.0000 -2.4949 11.1682
Te -2.1606 1.2474 11.1682
Te 2.1606 -1.2474 14.5377
Te 0.0000 2.4949 14.5377
Te 2.1606 1.2474 11.1682
Te 0.0000 0.0000 19.7039
```

Its raw total energy is -4.457 eV/atom.

---

Entry from Alexandria: a relaxed Dy5SnS5 crystal (PBE). Values from VASP.

The structure in Quantum ESPRESSO input format:
```
&SYSTEM
  ibrav = 0, nat = 11, ntyp = 3
/
ATOMIC_SPECIES
Dy 162.50 Dy.upf
Sn 118.71 Sn.upf
S 32.06 S.upf
CELL_PARAMETERS angstrom
6.3169 -2.8409 0.0000
6.3169 2.8409 0.0000
-2.5401 0.0000 7.6453
ATOMIC_POSITIONS angstrom
Dy 0.0000 0.0000 0.0000
Dy 2.5054 0.0000 4.9959
Dy 3.7535 0.0000 1.3876
Dy 6.3401 0.0000 6.2577
Dy 7.5883 0.0000 2.6494
Sn 6.3169 0.0000 0.0000
S 1.2720 0.0000 2.5515
S 0.0516 0.0000 6.4405
S 5.0468 0.0000 3.8227
S 10.0421 0.0000 1.2048
S 8.8216 0.0000 5.0938
```

Its raw total energy is -6.084 eV/atom.

---

Entry from Alexandria: a relaxed TbPaIrPt crystal (PBE). Values from VASP.

The structure in Quantum ESPRESSO input format:
```
&SYSTEM
  ibrav = 0, nat = 8, ntyp = 4
/
ATOMIC_SPECIES
Tb 158.93 Tb.upf
Pa 231.04 Pa.upf
Ir 192.22 Ir.upf
Pt 195.08 Pt.upf
CELL_PARAMETERS angstrom
4.1967 0.0000 0.0000
0.0000 3.7387 0.0000
0.0000 0.0000 11.2465
ATOMIC_POSITIONS angstrom
Tb 0.0000 0.0000 0.0000
Tb 0.0000 1.8693 5.6232
Pa 2.0983 0.0000 8.1520
Pa 2.0983 1.8693 2.5288
Ir 0.0000 0.0000 2.8788
Ir 0.0000 1.8693 8.5020
Pt 2.0983 0.0000 4.9954
Pt 2.0983 1.8693 10.6186
```

The formation energy comes out at -1.057 eV per atom. Its raw total energy is -8.314 eV/atom. The distance to the lowest polymorph of the same formula comes out at 0 meV/atom.

---

Entry from Alexandria: a relaxed TmSiNiH crystal (PBE). Values from VASP.

The structure in Quantum ESPRESSO input format:
```
&SYSTEM
  ibrav = 0, nat = 8, ntyp = 4
/
ATOMIC_SPECIES
Tm 168.93 Tm.upf
Si 28.09 Si.upf
Ni 58.69 Ni.upf
H 1.01 H.upf
CELL_PARAMETERS angstrom
3.8588 0.0000 0.0000
0.0000 3.8588 0.0000
0.0000 0.0000 7.0857
ATOMIC_POSITIONS angstrom
Tm 0.9647 0.9647 1.1450
Tm 2.8941 2.8941 5.9407
Si 0.9647 0.9647 4.7799
Si 2.8941 2.8941 2.3057
Ni 0.9647 2.8941 3.5428
Ni 2.8941 0.9647 3.5428
H 0.9647 2.8941 0.0000
H 2.8941 0.9647 0.0000
```

Its raw total energy is -5.528 eV/atom.

---

Entry from Alexandria: a relaxed Dy4SnAsS2 crystal (PBE). Values from VASP.

The structure in Quantum ESPRESSO input format:
```
&SYSTEM
  ibrav = 0, nat = 16, ntyp = 4
/
ATOMIC_SPECIES
Dy 162.50 Dy.upf
Sn 118.71 Sn.upf
As 74.92 As.upf
S 32.06 S.upf
CELL_PARAMETERS angstrom
-4.0466 4.1241 5.8073
4.0466 -4.1241 5.8073
4.0466 4.1241 -5.8073
ATOMIC_POSITIONS angstrom
Dy 2.0138 2.0620 0.0658
Dy 2.0328 -2.0620 5.8731
Dy 0.0000 0.1234 2.8864
Dy 4.0466 0.1234 2.9209
Dy 0.0000 4.0007 2.8864
Dy 4.0466 4.0007 2.9209
Dy 2.0138 6.1861 -0.0658
Dy 2.0328 2.0620 5.7415
Sn 2.0233 2.0620 -2.9036
Sn 2.0233 -2.0620 2.9036
As 4.0466 0.0000 0.0000
As 0.0000 0.0000 5.8073
S 0.0000 0.0000 0.0000
S -2.0233 2.0620 2.9036
S 0.0000 4.1241 0.0000
S 2.0233 2.0620 2.9036
```

Its raw total energy is -5.937 eV/atom.

---

Entry from Alexandria: a relaxed PrNd4Cd2 crystal (PBE). Values from VASP.

The structure in Quantum ESPRESSO input format:
```
&SYSTEM
  ibrav = 0, nat = 14, ntyp = 3
/
ATOMIC_SPECIES
Pr 140.91 Pr.upf
Nd 144.24 Nd.upf
Cd 112.41 Cd.upf
CELL_PARAMETERS angstrom
2.7887 -4.8270 0.0000
2.7887 4.8270 0.0000
0.0000 0.0000 16.5940
ATOMIC_POSITIONS angstrom
Pr 2.7887 4.8209 12.4455
Pr 2.7887 -4.8209 4.1485
Nd 0.0000 0.0000 0.0000
Nd 0.0000 0.0000 8.2970
Nd 2.7887 1.6143 2.3348
Nd 2.7887 1.6143 5.9622
Nd 2.7887 1.6021 12.4455
Nd 2.7887 -1.6021 4.1485
Nd 2.7887 -1.6143 10.6318
Nd 2.7887 -1.6143 14.2592
Cd 2.7887 1.6067 9.2611
Cd 2.7887 1.6067 15.6299
Cd 2.7887 -1.6067 0.9641
Cd 2.7887 -1.6067 7.3329
```

The formation energy comes out at -0.141 eV per atom. Its raw total energy is -3.809 eV/atom. The distance to the lowest polymorph of the same formula comes out at 0 meV/atom.